# Li8TiS6

Li8TiS6 after structural relaxation (PBEsol, the Alexandria database).

Results
* total moment: 0.0 μB/cell
* ΔE to the lowest computed polymorph: 0 meV per atom
* raw formation energy: -1.3269 eV per atom

Cell lengths 6.8067, 6.8067, 13.3019 Å; angles 90.00, 90.00, 120.00 degrees
Element x y z (fractional)
Li (0.3182, 0.0000, 0.7333)
Li (0.3770, 0.0000, 0.3696)
Li (0.6230, 0.0000, 0.8696)
Li (0.6818, 0.0000, 0.2333)
Li (0.3333, 0.6667, 0.0991)
Li (0.3333, 0.6667, 0.5991)
Li (0.6818, 0.6818, 0.7333)
Li (0.6230, 0.6230, 0.3696)
Li (0.3770, 0.3770, 0.8696)
Li (0.0000, 0.6818, 0.2333)
Li (0.3182, 0.3182, 0.2333)
Li (0.0000, 0.6230, 0.8696)
Li (0.6667, 0.3333, 0.5991)
Li (0.6667, 0.3333, 0.0991)
Li (0.0000, 0.3770, 0.3696)
Li (0.0000, 0.3182, 0.7333)
Ti (0.0000, 0.0000, 0.5018)
Ti (0.0000, 0.0000, 0.0018)
S (0.3153, 0.0000, 0.5498)
S (0.6847, 0.0000, 0.0498)
S (0.3333, 0.6667, 0.2833)
S (0.0000, 0.0000, 0.3295)
S (0.0000, 0.0000, 0.8295)
S (0.3333, 0.6667, 0.7833)
S (0.6847, 0.6847, 0.5498)
S (0.0000, 0.6847, 0.0498)
S (0.3153, 0.3153, 0.0498)
S (0.6667, 0.3333, 0.7833)
S (0.6667, 0.3333, 0.2833)
S (0.0000, 0.3153, 0.5498)